Entry one
DFT (SCAN) results for a crystal of Sc2PPt relaxed with PBEsol.

Computed properties:
The space group is Immm (71).

Cell lengths 4.486, 4.554, 4.554 Å; angles 64.75, 60.50, 60.50 degrees
Fractional positions:
Sc  0.746  0.254  0.254
Sc  0.254  0.746  0.746
Pt  0.500  0.000  0.000
P  0.000  0.500  0.500

---

Entry two
DFT (SCAN) results for a crystal of Sc2PPt relaxed with PBEsol.

Computed properties:
The space group is Amm2 (38).

Cell lengths 3.640, 3.911, 5.264 Å; angles 90.00, 110.22, 90.00 degrees
Fractional positions:
P  0.540  0.000  0.081
Pt  0.710  0.500  0.419
Sc  0.983  0.500  0.966
Sc  0.267  0.000  0.535

---

Entry three
DFT (SCAN) results for a crystal of Sc2PPt relaxed with PBEsol.

Computed properties:
The space group is Imm2 (44).

Cell lengths 3.558, 3.913, 5.571 Å; angles 110.56, 108.62, 90.00 degrees
Fractional positions:
Pt  0.233  0.733  0.466
P  0.530  0.530  0.059
Sc  0.986  0.986  0.972
Sc  0.752  0.252  0.503

---

Entry four
DFT (SCAN) results for a crystal of Sc2PPt relaxed with PBEsol.

Computed properties:
The space group is R-3m (166).

Cell lengths 3.576, 3.576, 8.521 Å; angles 77.89, 77.89, 60.00 degrees
Fractional positions:
P  0.000  0.000  0.000
Pt  0.500  0.500  0.500
Sc  0.899  0.899  0.303
Sc  0.101  0.101  0.697

---

It turns out entry two is the most stable, with the second structure 283 meV per atom higher.

---

Entry one
DFT (SCAN) results for a crystal of SiP2Pt relaxed with PBEsol.

Computed properties:
The space group is Cmmm (65).

Cell lengths 3.202, 4.274, 4.274 Å; angles 102.09, 90.00, 90.00 degrees
Fractional positions:
Si  0.500  0.500  0.500
Pt  0.500  0.000  0.000
P  0.000  0.500  0.000
P  0.000  0.000  0.500

---

Entry two
DFT (SCAN) results for a crystal of SiP2Pt relaxed with PBEsol.

Computed properties:
The space group is Cm (8).

Cell lengths 3.289, 3.698, 6.113 Å; angles 108.01, 90.00, 116.41 degrees
Fractional positions:
P  0.299  0.598  0.738
P  0.940  0.880  0.002
Pt  0.505  0.010  0.494
Si  0.756  0.512  0.265

---

It turns out entry two is the most stable, with the second structure 655 meV per atom higher.

---

Entry one
DFT (SCAN) results for a crystal of SrP2Pt relaxed with PBEsol.

Computed properties:
The space group is Pm (6).

Cell lengths 4.200, 4.649, 4.443 Å; angles 94.98, 90.00, 90.00 degrees
Fractional positions:
P  0.500  0.805  0.271
Sr  0.500  0.258  0.809
Pt  0.000  0.649  0.459
P  0.000  0.787  0.962

---

Entry two
DFT (SCAN) results for a crystal of SrP2Pt relaxed with PBEsol.

Computed properties:
The space group is Cmmm (65).

Cell lengths 4.047, 4.020, 6.525 Å; angles 90.00, 90.00, 120.22 degrees
Fractional positions:
P  0.000  0.000  0.319
Pt  0.500  0.000  0.500
P  0.000  0.000  0.681
Sr  0.500  0.000  0.000

---

Entry three
DFT (SCAN) results for a crystal of SrP2Pt relaxed with PBEsol.

Computed properties:
The space group is Cmcm (63).

Cell lengths 3.855, 6.197, 7.114 Å; angles 90.00, 90.00, 108.12 degrees
Fractional positions:
Pt  0.401  0.801  0.250
P  0.912  0.824  0.054
Pt  0.599  0.199  0.750
Sr  0.333  0.666  0.750
P  0.088  0.176  0.946
Sr  0.667  0.334  0.250
P  0.912  0.824  0.446
P  0.088  0.176  0.554

---

It turns out entry three is the most stable, with the second structure 258 meV per atom higher.

---

Entry one
DFT (SCAN) results for a crystal of SrP2Pt relaxed with PBEsol.

Computed properties:
The space group is P2/m (10).

Cell lengths 3.894, 4.489, 4.860 Å; angles 96.53, 90.00, 90.00 degrees
Fractional positions:
Pt  0.500  0.000  0.500
P  0.000  0.734  0.611
P  0.000  0.266  0.389
Sr  0.500  0.500  0.000

---

Entry two
DFT (SCAN) results for a crystal of SrP2Pt relaxed with PBEsol.

Computed properties:
The space group is Cm (8).

Cell lengths 4.018, 4.609, 5.436 Å; angles 101.06, 111.69, 90.00 degrees
Fractional positions:
Sr  0.223  0.742  0.446
P  0.017  0.161  0.035
Pt  0.451  0.337  0.902
P  0.808  0.260  0.617

---

It turns out entry one is the most stable, with the second structure 324 meV per atom higher.